Compound: CrGaOF2
Source: the Alexandria database
Functional: PBE with a Hubbard U
Structure: relaxed

a = 4.052 Å, b = 4.052 Å, c = 3.919 Å
α = 90.00°, β = 90.00°, γ = 90.00°
Element x y z (fractional)
Cr  0.000  0.000  0.000
Ga  0.500  0.500  0.500
F  0.000  0.500  0.000
F  0.500  0.000  0.000
O  0.000  0.000  0.500

Summary:
Calculated total energy: -28.13 eV per cell
Energy above the lowest structure with this stoichiometry: 0.000 eV per atom
Symmetry: No. 123
N(E_F): 0.093 states/eV/atom
Total magnetization: 0.6000 μB/atom